The following is a GGA-PBE calculation of a geometry-optimized GaCu3N3 structure, from Alexandria via LeMat-Bulk.

Cell and atoms, written as extended XYZ:
```
7
Lattice="4.140 0.000 0.000 0.000 4.140 0.000 0.000 0.000 4.140" Properties=species:S:1:pos:R:3 pbc="T T T"
Ga 0.000 0.000 0.000
Cu 0.000 2.070 2.070
Cu 2.070 0.000 2.070
Cu 2.070 2.070 0.000
N 0.000 0.000 2.070
N 0.000 2.070 0.000
N 2.070 0.000 0.000
```

Computed properties:
Crystal system: cubic
ΔE_f (raw) in eV per formula unit: 3.35

The following is a GGA-PBE calculation of a geometry-optimized GaCu2N structure, from Alexandria via LeMat-Bulk.

Cell and atoms, written as extended XYZ:
```
8
Lattice="-2.416 2.416 5.354 2.416 -2.416 5.354 2.416 2.416 -5.354" Properties=species:S:1:pos:R:3 pbc="T T T"
Ga 0.000 0.000 0.000
Ga 0.000 2.416 2.677
Cu 1.208 -0.439 4.016
Cu 1.977 1.208 1.339
Cu 1.208 2.855 -1.339
Cu 0.439 1.208 6.693
N 2.416 0.000 2.677
N 0.000 0.000 5.354
```

Computed properties:
Crystal system: tetragonal
Polymorph energy (0 for the lowest one) in eV per atom: 0.000
ΔE_f (raw) in eV per formula unit: 1.40

The following is a GGA-PBE calculation of a geometry-optimized GaCu2N structure, from Alexandria via LeMat-Bulk.

Cell and atoms, written as extended XYZ:
```
4
Lattice="0.000 2.853 2.853 2.853 0.000 2.853 2.853 2.853 0.000" Properties=species:S:1:pos:R:3 pbc="T T T"
Ga 0.000 0.000 0.000
Cu 1.427 1.427 1.427
Cu 4.280 4.280 4.280
N 2.853 2.853 2.853
```

Computed properties:
Crystal system: cubic
Polymorph energy (0 for the lowest one) in eV per atom: 0.411
ΔE_f (raw) in eV per formula unit: 3.05

The following is a GGA-PBE calculation of a geometry-optimized GaCuN structure, from Alexandria via LeMat-Bulk.

Cell and atoms, written as extended XYZ:
```
6
Lattice="3.666 0.000 0.000 1.829 4.676 0.000 1.810 -0.010 5.537" Properties=species:S:1:pos:R:3 pbc="T T T"
Ga 0.918 0.903 0.000
Ga 6.387 3.763 5.537
Cu 2.736 2.337 1.946
Cu 4.569 2.329 3.591
N 2.737 2.327 4.157
N 4.568 2.339 1.380
```

Computed properties:
Crystal system: triclinic
ΔE_f (raw) in eV per formula unit: 0.78

The following is a GGA-PBE calculation of a geometry-optimized GaCuNO2 structure, from Alexandria via LeMat-Bulk.

Cell and atoms, written as extended XYZ:
```
5
Lattice="3.814 0.000 0.000 0.000 3.814 0.000 0.000 0.000 3.905" Properties=species:S:1:pos:R:3 pbc="T T T"
Ga 0.000 0.000 0.000
Cu 1.907 1.907 1.952
N 0.000 0.000 1.952
O 0.000 1.907 0.000
O 1.907 0.000 0.000
```

Computed properties:
Crystal system: tetragonal
ΔE_f (raw) in eV per formula unit: 2.24

The following is a GGA-PBE calculation of a geometry-optimized GaCuN2O structure, from Alexandria via LeMat-Bulk.

Cell and atoms, written as extended XYZ:
```
5
Lattice="3.779 0.000 0.000 0.000 3.779 0.000 0.000 0.000 3.755" Properties=species:S:1:pos:R:3 pbc="T T T"
Ga 0.000 0.000 0.000
Cu 1.890 1.890 1.877
N 0.000 1.890 1.877
N 1.890 0.000 1.877
O 1.890 1.890 0.000
```

Computed properties:
Crystal system: tetragonal
ΔE_f (raw) in eV per formula unit: 6.18

The following is a GGA-PBE calculation of a geometry-optimized GaCuNO2 structure, from Alexandria via LeMat-Bulk.

Cell and atoms, written as extended XYZ:
```
5
Lattice="3.746 0.000 0.000 0.000 3.746 0.000 0.000 0.000 3.779" Properties=species:S:1:pos:R:3 pbc="T T T"
Ga 0.000 0.000 0.000
Cu 1.873 1.873 1.890
N 1.873 1.873 0.000
O 0.000 1.873 1.890
O 1.873 0.000 1.890
```

Computed properties:
Crystal system: tetragonal
ΔE_f (raw) in eV per formula unit: 2.61

The following is a GGA-PBE calculation of a geometry-optimized GaCuN2O structure, from Alexandria via LeMat-Bulk.

Cell and atoms, written as extended XYZ:
```
5
Lattice="3.916 0.000 0.000 0.000 3.916 0.000 0.000 0.000 3.863" Properties=species:S:1:pos:R:3 pbc="T T T"
Ga 0.000 0.000 0.000
Cu 1.958 1.958 1.932
N 0.000 1.958 0.000
N 1.958 0.000 0.000
O 0.000 0.000 1.932
```

Computed properties:
Crystal system: tetragonal
ΔE_f (raw) in eV per formula unit: 5.72

| no. | M_tot (μB/f.u.) |
| --- | --- |
| 1 | 0.00 |
| 2 | 0.00 |
| 3 | 0.00 |
| 4 | 0.00 |
| 5 | 0.25 |
| 6 | 0.00 |
| 7 | 0.00 |
| 8 | 3.55 |